Zr2CrBi | Alexandria | PBE-GGA | optimized geometry; total energy = -57.154 eV/cell; V = 93.76 Å³/f.u.; total magnetization = 5.89 μB/cell; ΔH_f (0 K) = 506 meV/atom; SG = I-42d; ρ = 7.85 g cm⁻³
1.0
-3.182 1.353 2.361
-2.055 -3.575 -0.721
1.940 -5.473 9.463
Cr Bi Zr
2 2 4
Direct
0.500 0.500 0.000 Cr
0.250 0.750 0.500 Cr
0.000 0.000 0.000 Bi
0.750 0.250 0.500 Bi
0.624 0.125 0.250 Zr
0.126 0.625 0.250 Zr
0.375 0.376 0.750 Zr
0.875 0.874 0.750 Zr

---

ZrCrBi3 | Alexandria | PBE-GGA | optimized geometry; total energy = -26.263 eV/cell; V = 181.29 Å³/f.u.; total magnetization = 4.99 μB/cell; ΔH_f (0 K) = 710 meV/atom; ΔE to the lowest computed polymorph = 15 meV per atom; SG = Pm-3m; ρ = 7.05 g cm⁻³
1.0
5.660 0.000 0.000
0.000 5.660 0.000
0.000 0.000 5.660
Cr Bi Zr
1 3 1
Direct
0.500 0.500 0.500 Cr
0.000 0.500 0.000 Bi
0.000 0.000 0.500 Bi
0.500 0.000 0.000 Bi
0.000 0.000 0.000 Zr

---

ZrCrBi2 | Alexandria | PBE-GGA | optimized geometry; total energy = -24.266 eV/cell; V = 87.57 Å³/f.u.; total magnetization = 0.00 μB/cell; ΔH_f (0 K) = 417 meV/atom; ΔE to the lowest computed polymorph = 80 meV per atom; SG = Fm-3m; ρ = 10.64 g cm⁻³
1.0
0.000 3.525 3.525
3.525 0.000 3.525
3.525 3.525 0.000
Cr Bi Zr
1 2 1
Direct
0.000 0.000 0.000 Cr
0.250 0.250 0.250 Bi
0.750 0.750 0.750 Bi
0.500 0.500 0.500 Zr

---

Zr2Cr2Bi | Alexandria | PBE-GGA | optimized geometry; total energy = -79.414 eV/cell; V = 96.17 Å³/f.u.; total magnetization = 0.00 μB/cell; ΔH_f (0 K) = 103 meV/atom; SG = P4/mbm; ρ = 8.55 g cm⁻³
1.0
-3.900 -6.005 -0.202
5.934 -3.887 0.996
-0.494 0.196 3.711
Cr Bi Zr
4 2 4
Direct
0.401 0.901 0.000 Cr
0.901 0.599 0.000 Cr
0.599 0.099 0.000 Cr
0.099 0.401 0.000 Cr
0.000 0.000 0.000 Bi
0.500 0.500 0.000 Bi
0.182 0.682 0.500 Zr
0.682 0.818 0.500 Zr
0.818 0.318 0.500 Zr
0.318 0.182 0.500 Zr

---

Among the records above, which one has the highest ρ?
ZrCrBi2

---

V of number 2 (ZrCrBi3)?
181.29 Å³/f.u.